PBE-GGA Ho2Ge2O7, relaxed; relative energy among the computed polymorphs = 0 meV/atom
1.0
6.778 0.000 0.000
0.000 6.778 0.000
0.000 0.000 12.348
Ho Ge O
8 8 28
Cartesian
0.851 2.395 1.410
0.994 4.240 4.497
2.395 0.851 10.938
2.538 5.784 1.677
4.240 0.994 7.851
4.383 5.927 4.764
5.784 2.538 10.671
5.927 4.383 7.584
0.689 1.033 7.790
1.033 0.689 4.559
2.356 4.078 10.877
2.700 4.422 7.646
4.078 2.356 1.472
4.422 2.700 4.702
5.745 6.089 10.733
6.089 5.745 1.615
0.223 0.525 10.782
0.435 4.480 2.214
0.525 0.223 1.566
0.975 2.162 3.626
1.091 2.954 11.475
1.227 4.364 6.713
1.363 1.363 6.174
2.026 4.752 9.261
2.162 0.975 8.722
2.298 6.343 3.960
2.414 5.551 11.809
2.864 3.612 1.521
2.954 1.091 0.873
3.166 3.914 4.653
3.612 2.864 10.828
3.824 5.687 7.047
3.914 3.166 7.695
4.364 1.227 5.635
4.480 0.435 10.134
4.615 5.802 2.548
4.752 2.026 3.087
5.415 5.415 0.000
5.551 2.414 0.539
5.687 3.824 5.301
5.802 4.615 9.800
6.253 6.555 7.741
6.343 2.298 8.388
6.555 6.253 4.608

PBE-GGA KEr2, relaxed; relative energy among the computed polymorphs = 732 meV/atom
1.0
7.980 0.000 0.000
0.000 7.980 0.000
0.000 0.000 7.980
K Er
4 8
Cartesian
0.000 0.000 0.000
0.000 3.990 3.990
3.990 0.000 3.990
3.990 3.990 0.000
1.995 1.995 1.995
1.995 1.995 5.985
1.995 5.985 1.995
1.995 5.985 5.985
5.985 1.995 1.995
5.985 1.995 5.985
5.985 5.985 1.995
5.985 5.985 5.985

PBE-GGA FeSiNiAu, relaxed; relative energy among the computed polymorphs = 0 meV/atom
1.0
5.946 0.000 0.000
0.000 5.946 0.000
0.000 0.000 5.946
Fe Si Ni Au
4 4 4 4
Cartesian
0.000 0.000 0.000
0.000 2.973 2.973
2.973 0.000 2.973
2.973 2.973 0.000
1.487 1.487 4.460
1.487 4.460 1.487
4.460 1.487 1.487
4.460 4.460 4.460
0.000 0.000 2.973
0.000 2.973 0.000
2.973 0.000 0.000
2.973 2.973 2.973
1.487 1.487 1.487
1.487 4.460 4.460
4.460 1.487 4.460
4.460 4.460 1.487

PBE-GGA CuOsPbAu, relaxed; relative energy among the computed polymorphs = 0 meV/atom
1.0
6.529 0.000 0.000
0.000 6.529 0.000
0.000 0.000 6.529
Cu Os Pb Au
4 4 4 4
Cartesian
0.000 0.000 0.000
0.000 3.265 3.265
3.265 0.000 3.265
3.265 3.265 0.000
0.000 0.000 3.265
0.000 3.265 0.000
3.265 0.000 0.000
3.265 3.265 3.265
1.632 1.632 4.897
1.632 4.897 1.632
4.897 1.632 1.632
4.897 4.897 4.897
1.632 1.632 1.632
1.632 4.897 4.897
4.897 1.632 4.897
4.897 4.897 1.632

Looking at total energy for the records above, in order, we have -7.447, -2.104, -5.636, -4.839 eV per atom.